Material: CsCrP2O
Method: DFT, GGA+U
State: relaxed

The total DFT energy (no corrections) comes out at -2.782 eV per atom. For the total moment, the calculation gives 1.1 μB/f.u.

The structure belongs to space group P4/mmm (No. 123); the cell edges are 5.4693, 5.4693 and 4.1963 Å and the angles 90.00°, 90.00° and 90.00°. The asymmetric unit holds Cs at (0.0000, 0.0000, 0.0000), Cr at (0.5000, 0.5000, 0.5000), P at (0.0000, 0.5000, 0.0000) and O at (0.0000, 0.0000, 0.5000).